(1)
Density functional theory data (GGA-PBE) for an optimized crystal structure of FeCuRe2.

a = 4.659 Å, b = 4.659 Å, c = 4.659 Å
α = 132.84°, β = 132.84°, γ = 68.91°
Fractional positions:
Cu1 0.250 0.750 0.500
Fe1 0.750 0.250 0.500
Re1 0.000 0.000 0.000
Re2 0.500 0.500 0.000

Calculated values
formation enthalpy at 0 K	0.24	eV per atom
magnetic moment	2.0	Bohr magnetons per cell
E above lowest polymorph	78	meV/atom

(2)
Density functional theory data (GGA-PBE) for an optimized crystal structure of Fe2CuRe2.

a = 7.065 Å, b = 7.065 Å, c = 2.649 Å
α = 90.00°, β = 90.00°, γ = 90.00°
Fractional positions:
Re1 0.168 0.668 0.500
Re2 0.668 0.832 0.500
Re3 0.832 0.332 0.500
Re4 0.332 0.168 0.500
Fe1 0.376 0.876 0.000
Fe2 0.876 0.624 0.000
Fe3 0.624 0.124 0.000
Fe4 0.124 0.376 0.000
Cu1 0.000 0.000 0.000
Cu2 0.500 0.500 0.000

Calculated values
formation enthalpy at 0 K	0.26	eV per atom
magnetic moment	0.0	Bohr magnetons per cell
E above lowest polymorph	0	meV/atom

(3)
Density functional theory data (GGA-PBE) for an optimized crystal structure of Fe2CuRe.

a = 6.476 Å, b = 6.476 Å, c = 5.248 Å
α = 51.90°, β = 51.90°, γ = 90.00°
Fractional positions:
Re1 0.000 0.000 0.000
Re2 0.750 0.250 0.500
Fe1 0.650 0.125 0.250
Fe2 0.100 0.625 0.250
Fe3 0.375 0.350 0.750
Fe4 0.875 0.900 0.750
Cu1 0.500 0.500 0.000
Cu2 0.250 0.750 0.500

Calculated values
formation enthalpy at 0 K	0.78	eV per atom
magnetic moment	0.0	Bohr magnetons per cell
E above lowest polymorph	606	meV/atom

(4)
Density functional theory data (GGA-PBE) for an optimized crystal structure of Fe2CuRe.

a = 4.205 Å, b = 2.521 Å, c = 4.822 Å
α = 82.01°, β = 90.00°, γ = 90.00°
Fractional positions:
Cu1 0.500 0.750 0.750
Fe1 0.000 0.980 0.001
Fe2 0.000 0.520 0.499
Re1 0.500 0.250 0.250

Calculated values
formation enthalpy at 0 K	0.21	eV per atom
magnetic moment	4.4	Bohr magnetons per cell
E above lowest polymorph	35	meV/atom

(5)
Density functional theory data (GGA-PBE) for an optimized crystal structure of FeCuRe2.

a = 2.635 Å, b = 2.635 Å, c = 8.510 Å
α = 90.00°, β = 90.00°, γ = 110.08°
Fractional positions:
Cu1 0.000 0.000 0.510
Fe1 0.500 0.500 0.747
Re1 0.000 0.000 0.990
Re2 0.500 0.500 0.253

Calculated values
formation enthalpy at 0 K	0.27	eV per atom
magnetic moment	2.6	Bohr magnetons per cell
E above lowest polymorph	110	meV/atom

(6)
Density functional theory data (GGA-PBE) for an optimized crystal structure of Fe4CuRe.

a = 4.656 Å, b = 4.656 Å, c = 4.656 Å
α = 60.00°, β = 60.00°, γ = 60.00°
Fractional positions:
Fe1 0.875 0.375 0.375
Fe2 0.375 0.375 0.875
Fe3 0.375 0.875 0.375
Fe4 0.375 0.375 0.375
Cu1 0.000 0.000 0.000
Re1 0.750 0.750 0.750

Calculated values
formation enthalpy at 0 K	0.17	eV per atom
magnetic moment	6.2	Bohr magnetons per cell

(7)
Density functional theory data (GGA-PBE) for an optimized crystal structure of Fe2CuRe.

a = 4.132 Å, b = 4.132 Å, c = 4.132 Å
α = 60.00°, β = 60.00°, γ = 60.00°
Fractional positions:
Cu1 0.500 0.500 0.500
Fe1 0.000 0.000 0.000
Fe2 0.250 0.250 0.250
Re1 0.750 0.750 0.750

Calculated values
formation enthalpy at 0 K	0.28	eV per atom
magnetic moment	3.9	Bohr magnetons per cell
E above lowest polymorph	109	meV/atom

(8)
Density functional theory data (GGA-PBE) for an optimized crystal structure of FeCuRe2.

a = 4.684 Å, b = 4.684 Å, c = 2.601 Å
α = 90.00°, β = 90.00°, γ = 111.04°
Fractional positions:
Cu1 0.500 0.000 0.500
Fe1 0.000 0.500 0.500
Re1 0.000 0.000 0.000
Re2 0.500 0.500 0.000

Calculated values
formation enthalpy at 0 K	0.27	eV per atom
magnetic moment	1.6	Bohr magnetons per cell
E above lowest polymorph	108	meV/atom